Here is a relaxed Cd2PbN crystal from the Alexandria database. Energies are from PBE-GGA.

Output
raw formation energy	1.1337	eV/atom
VASP energy	-2.332	eV/atom
theoretical density	8.6	g/cm³
relative energy among the computed polymorphs	662	meV per atom

Cell and atoms, written as POSCAR:
```
Cd2PbN
1.0
0.000 3.504 3.504
3.504 0.000 3.504
3.504 3.504 0.000
Pb N Cd
1 1 2
Cartesian
3.504 3.504 3.504
0.000 0.000 0.000
1.752 1.752 1.752
5.256 5.256 5.256
```